{"formula": "LaEuAgPt", "functional": "PBE", "state": "optimized geometry", "cell": [[7.4005, 0.0000, 0.0000], [0.0000, 7.4005, 0.0000], [0.0000, 0.0000, 7.4005]], "species": ["La", "La", "La", "La", "Eu", "Eu", "Eu", "Eu", "Ag", "Ag", "Ag", "Ag", "Pt", "Pt", "Pt", "Pt"], "fractional_positions": [[0.0000, 0.0000, 0.0000], [0.0000, 0.5000, 0.5000], [0.5000, 0.0000, 0.5000], [0.5000, 0.5000, 0.0000], [0.0000, 0.0000, 0.5000], [0.0000, 0.5000, 0.0000], [0.5000, 0.0000, 0.0000], [0.5000, 0.5000, 0.5000], [0.2500, 0.2500, 0.2500], [0.2500, 0.7500, 0.7500], [0.7500, 0.2500, 0.7500], [0.7500, 0.7500, 0.2500], [0.2500, 0.2500, 0.7500], [0.2500, 0.7500, 0.2500], [0.7500, 0.2500, 0.2500], [0.7500, 0.7500, 0.7500]], "dos_ef_per_ev_cell": 31.508, "dft_energy_ev_per_atom": -6.677, "mass_density_g_cm3": 9.73}

***

{"formula": "ZrCrTc2", "functional": "PBE", "state": "optimized geometry", "cell": [[2.8356, 0.0000, 0.0000], [0.0000, 4.5602, 0.0000], [0.0000, 0.0000, 10.2460]], "species": ["Zr", "Zr", "Cr", "Cr", "Tc", "Tc", "Tc", "Tc"], "fractional_positions": [[0.0000, 0.0000, 0.0000], [0.5000, 0.5000, 0.5000], [0.0000, 0.0000, 0.5000], [0.5000, 0.5000, 0.0000], [0.0000, 0.0000, 0.2843], [0.0000, 0.0000, 0.7157], [0.5000, 0.5000, 0.2157], [0.5000, 0.5000, 0.7843]], "dos_ef_per_ev_cell": 8.195, "dft_energy_ev_per_atom": -9.339, "mass_density_g_cm3": 8.50}

***

{"formula": "CaTmZr2N4", "functional": "PBE", "state": "optimized geometry", "cell": [[-3.3258, 3.3521, 4.7171], [3.3258, -3.3521, 4.7171], [3.3258, 3.3521, -4.7171]], "species": ["Ca", "Ca", "Tm", "Tm", "Zr", "Zr", "Zr", "Zr", "N", "N", "N", "N", "N", "N", "N", "N"], "fractional_positions": [[0.5000, 0.0000, 0.0000], [0.5000, 0.5000, 0.5000], [0.0000, 0.0000, 0.0000], [0.5000, 0.0000, 0.5000], [0.0000, 0.0000, 0.5000], [0.0000, 0.5000, 0.0000], [0.0000, 0.5000, 0.5000], [0.5000, 0.5000, 0.0000], [0.2257, 0.7449, 0.4808], [0.2360, 0.2551, 0.9808], [0.2420, 0.2501, 0.5081], [0.2420, 0.7339, 0.9919], [0.7580, 0.2661, 0.0081], [0.7580, 0.7499, 0.4919], [0.7640, 0.7449, 0.0192], [0.7743, 0.2551, 0.5192]], "dos_ef_per_ev_cell": 2.689, "dft_energy_ev_per_atom": -8.754, "mass_density_g_cm3": 7.07}

***

{"formula": "MgWBr2", "functional": "PBE", "state": "optimized geometry", "cell": [[7.3380, 0.0000, 0.0000], [0.0000, 7.3380, 0.0000], [0.0000, 0.0000, 7.3380]], "species": ["Mg", "Mg", "Mg", "Mg", "W", "W", "W", "W", "Br", "Br", "Br", "Br", "Br", "Br", "Br", "Br"], "fractional_positions": [[0.0000, 0.0000, 0.0000], [0.0000, 0.5000, 0.5000], [0.5000, 0.0000, 0.5000], [0.5000, 0.5000, 0.0000], [0.2500, 0.2500, 0.2500], [0.2500, 0.7500, 0.7500], [0.7500, 0.2500, 0.7500], [0.7500, 0.7500, 0.2500], [0.0000, 0.0000, 0.5000], [0.0000, 0.5000, 0.0000], [0.2500, 0.2500, 0.7500], [0.2500, 0.7500, 0.2500], [0.5000, 0.0000, 0.0000], [0.5000, 0.5000, 0.5000], [0.7500, 0.2500, 0.2500], [0.7500, 0.7500, 0.7500]], "dos_ef_per_ev_cell": 13.051, "dft_energy_ev_per_atom": -3.354, "mass_density_g_cm3": 6.19}